(1)
First-principles (PBE) data for a geometry-optimized Nb2AlHRu structure, as listed in Alexandria via LeMat-Bulk.

a = 3.962 Å, b = 3.962 Å, c = 4.310 Å
α = 90.00°, β = 90.00°, γ = 90.00°
Fractional positions:
Nb: 0.000 0.500 0.000
Nb: 0.500 0.000 0.000
Al: 0.000 0.000 0.500
H: 0.000 0.000 0.000
Ru: 0.500 0.500 0.500

Summary:
Electronic total energy, eV/atom: -7.459
Size of the total moment, μB per formula unit: 0.00

=====

(2)
First-principles (PBE) data for a geometry-optimized NbGeTe2I structure, as listed in Alexandria via LeMat-Bulk.

a = 5.396 Å, b = 5.396 Å, c = 5.453 Å
α = 90.00°, β = 90.00°, γ = 90.00°
Fractional positions:
Nb: 0.000 0.000 0.000
Ge: 0.500 0.500 0.500
Te: 0.000 0.500 0.500
Te: 0.500 0.000 0.500
I: 0.500 0.500 0.000

Summary:
Size of the total moment, μB per formula unit: 2.76
Energy relative to the elements, uncorrected, eV per atom: 0.88

=====

(3)
First-principles (PBE) data for a geometry-optimized Ac2TmPa structure, as listed in Alexandria via LeMat-Bulk.

a = 13.047 Å, b = 13.047 Å, c = 13.047 Å
α = 15.62°, β = 15.62°, γ = 15.62°
Fractional positions:
Ac: 0.087 0.087 0.087
Ac: 0.913 0.913 0.913
Tm: 0.500 0.500 0.500
Pa: 0.000 0.000 0.000

Summary:
Size of the total moment, μB per formula unit: 0.00
Energy of formation from the pure elements, eV/atom: 0.489

=====

Copy entry 3 word for word.
First-principles (PBE) data for a geometry-optimized Ac2TmPa structure, as listed in Alexandria via LeMat-Bulk.

a = 13.047 Å, b = 13.047 Å, c = 13.047 Å
α = 15.62°, β = 15.62°, γ = 15.62°
Fractional positions:
Ac: 0.087 0.087 0.087
Ac: 0.913 0.913 0.913
Tm: 0.500 0.500 0.500
Pa: 0.000 0.000 0.000

Summary:
Size of the total moment, μB per formula unit: 0.00
Energy of formation from the pure elements, eV/atom: 0.489

=====

> What is the size of the total moment in the second record?

2.76 μB per formula unit